Material: Tb6PrHo2Tm
Method: DFT, PBE
State: optimized geometry

Computed properties:
Energy of formation   1.19 eV per formula unit
Crystal system   monoclinic

Unit cell a=9.5229 b=8.7940 c=8.7940 alpha=117.54 beta=93.47 gamma=93.47
Sites, in units of the cell vectors:
1 Ho 0.5472 0.2013 0.3056
2 Tb 0.9437 0.8772 0.2481
3 Pr 0.7500 0.0260 0.9740
4 Tb 0.3819 0.5102 0.2919
5 Ho 0.9528 0.6944 0.7987
6 Tm 0.7500 0.5898 0.4102
7 Tb 0.8819 0.2919 0.5102
8 Tb 0.0563 0.1228 0.7519
9 Tb 0.8161 0.4364 0.9859
10 Tm 0.2500 0.4102 0.5898
11 Tb 0.3161 0.9859 0.4364
12 Tb 0.6181 0.4898 0.7081
13 Ho 0.4528 0.7987 0.6944
14 Tb 0.6839 0.0141 0.5636
15 Tb 0.1181 0.7081 0.4898
16 Ho 0.0472 0.3056 0.2013
17 Tb 0.4437 0.2481 0.8772
18 Tb 0.1839 0.5636 0.0141
19 Pr 0.2500 0.9740 0.0260
20 Tb 0.5563 0.7519 0.1228

Material: Tb2PrHoTm
Method: DFT, PBE
State: optimized geometry

Computed properties:
Energy of formation   1.93 eV per formula unit
Crystal system   orthorhombic

Unit cell a=7.2089 b=8.4023 c=7.1185 alpha=126.17 beta=90.00 gamma=90.00
Sites, in units of the cell vectors:
1 Pr 0.7500 0.2715 0.5431
2 Tm 0.7500 0.7231 0.4462
3 Tm 0.2500 0.2769 0.5538
4 Tb 0.0000 0.6908 0.0000
5 Tb 0.0000 0.3092 0.0000
6 Tb 0.5000 0.6908 0.0000
7 Ho 0.7500 0.0013 0.0026
8 Pr 0.2500 0.7285 0.4569
9 Tb 0.5000 0.3092 0.0000
10 Ho 0.2500 0.9987 0.9974

Material: Tb2Pr3Ho6Tm
Method: DFT, PBE
State: optimized geometry

Computed properties:
Energy of formation   0.25 eV per formula unit
Crystal system   monoclinic

Unit cell a=6.1985 b=6.1985 c=11.8062 alpha=95.01 beta=95.01 gamma=119.98
Sites, in units of the cell vectors:
1 Ho 0.0817 0.4147 0.2454
2 Ho 0.7489 0.7489 0.2454
3 Tb 0.3334 0.6666 0.0000
4 Tb 0.6666 0.3334 0.0000
5 Pr 0.1667 0.8333 0.5000
6 Tm 0.0000 0.0000 0.0000
7 Ho 0.5853 0.9183 0.7546
8 Pr 0.5000 0.5000 0.5000
9 Ho 0.2511 0.2511 0.7546
10 Pr 0.8333 0.1667 0.5000
11 Ho 0.4147 0.0817 0.2454
12 Ho 0.9183 0.5853 0.7546

Material: TbPrHo4Tm2
Method: DFT, PBE
State: optimized geometry

Computed properties:
Energy of formation   3.51 eV per formula unit
Crystal system   monoclinic

Unit cell a=9.4654 b=9.4654 c=11.7326 alpha=128.30 beta=128.30 gamma=88.66
Site moments in Bohr magnetons follow the coordinates.
Sites, in units of the cell vectors:
1 Tb 0.5000 0.5000 0.5000  0.30
2 Ho 0.2538 0.2478 0.5028  0.27
3 Ho 0.7500 0.2454 0.4979  0.27
4 Tb 0.0000 0.0000 0.0000  0.30
5 Ho 0.2500 0.7545 0.5021  0.27
6 Ho 0.7455 0.2500 0.9979  0.27
7 Pr 0.0000 0.5000 0.0000  0.26
8 Tm 0.5000 0.0000 0.5000  0.21
9 Tm 0.5000 0.0000 0.0000  0.21
10 Pr 0.0000 0.5000 0.5000  0.26
11 Ho 0.2546 0.7500 0.0021  0.27
12 Tm 0.0000 0.0000 0.5000  0.26
13 Ho 0.7462 0.7522 0.4972  0.27
14 Ho 0.7478 0.7538 0.0028  0.27
15 Ho 0.2522 0.2462 0.9972  0.27
16 Tm 0.5000 0.5000 0.0000  0.26